(1)
Computed, not measured: MgCr2Ga after structural relaxation at the PBE level of DFT.

Calculated values
Electronic total energy (eV per formula unit): -20.7
N(E_F) (states/eV/cell): 8.848
Spin magnetization (μB per formula unit): 1.364

```
MgCr2Ga
1.0
-3.4741 3.4741 2.5336
3.4741 -3.4741 2.5336
3.4741 3.4741 -2.5336
Mg Cr Ga
2 4 2
Direct
0.0000 0.0000 0.0000
0.7500 0.2500 0.5000
0.1468 0.6250 0.0218
0.3750 0.3968 0.5218
0.6032 0.1250 0.9782
0.8750 0.8532 0.4782
0.2500 0.7500 0.5000
0.5000 0.5000 0.0000
```



(2)
Computed, not measured: EuAlH after structural relaxation at the PBE level of DFT.

Calculated values
Electronic total energy (eV per formula unit): -17.9
N(E_F) (states/eV/cell): 2.224
Spin magnetization (μB per formula unit): 7.232

```
EuAlH
1.0
1.5933 -8.4893 0.0000
1.5933 8.4893 0.0000
0.0000 0.0000 4.0421
Eu Al H
2 2 2
Direct
0.0834 0.9166 0.7500
0.9166 0.0834 0.2500
0.2329 0.7671 0.2500
0.7671 0.2329 0.7500
0.4572 0.5428 0.7500
0.5428 0.4572 0.2500
```



(3)
Computed, not measured: Tb3Sm2Y6Mg after structural relaxation at the PBE level of DFT.

Calculated values
Electronic total energy (eV per formula unit): -63.4
N(E_F) (states/eV/cell): 18.381
Spin magnetization (μB per formula unit): 0.001

```
Tb3Sm2Y6Mg
1.0
3.0779 -5.3345 0.0000
3.0779 5.3345 0.0000
-2.0636 0.0000 11.6036
Tb Sm Y Mg
3 2 6 1
Direct
0.0000 0.0000 0.0000
0.3344 0.6656 0.0000
0.6656 0.3344 0.0000
0.1664 0.8336 0.5000
0.8336 0.1664 0.5000
0.0859 0.4173 0.2505
0.2511 0.2511 0.7504
0.4173 0.0859 0.2505
0.5827 0.9141 0.7495
0.7489 0.7489 0.2496
0.9141 0.5827 0.7495
0.5000 0.5000 0.5000
```



(4)
Computed, not measured: Pm3Te2O2 after structural relaxation at the PBE level of DFT.

Calculated values
Relative energy among the computed polymorphs (eV per atom): 0.221
Formation energy from raw total energies (meV per atom): -2155
N(E_F) (states/eV/cell): 1.564
Spin magnetization (μB per formula unit): 0.000

```
Pm3Te2O2
1.0
5.8363 -1.8577 0.0000
5.8363 1.8577 0.0000
-4.1448 0.0000 7.2623
Pm Te O
3 2 2
Direct
0.0000 0.0000 0.0000
0.3332 0.3332 0.2357
0.6668 0.6668 0.7643
0.0997 0.0997 0.4053
0.9003 0.9003 0.5947
0.3446 0.3446 0.9608
0.6554 0.6554 0.0392
```



(5)
Computed, not measured: MgZrFeRu after structural relaxation at the PBE level of DFT.

Calculated values
Electronic total energy (eV per formula unit): -28.2
N(E_F) (states/eV/cell): 6.015
Spin magnetization (μB per formula unit): 1.702

```
MgZrFeRu
1.0
0.0000 3.1773 3.1773
3.1773 0.0000 3.1773
3.1773 3.1773 0.0000
Mg Zr Fe Ru
1 1 1 1
Direct
0.0000 0.0000 0.0000
0.5000 0.5000 0.5000
0.7500 0.7500 0.7500
0.2500 0.2500 0.2500
```



(6)
Computed, not measured: AsIr2Se after structural relaxation at the PBE level of DFT.

Calculated values
Relative energy among the computed polymorphs (eV per atom): 0.102
Formation energy from raw total energies (meV per atom): 139
N(E_F) (states/eV/cell): 5.502
Spin magnetization (μB per formula unit): 0.000

```
AsIr2Se
1.0
-2.7542 2.7542 5.6187
2.7542 -2.7542 5.6187
2.7542 2.7542 -5.6187
As Ir Se
2 4 2
Direct
0.0000 0.0000 0.0000
0.7500 0.2500 0.5000
0.1232 0.6250 0.9982
0.3750 0.3732 0.4982
0.6268 0.1250 0.0018
0.8750 0.8768 0.5018
0.2500 0.7500 0.5000
0.5000 0.5000 0.0000
```



(7)
Computed, not measured: AcNd2Sm after structural relaxation at the PBE level of DFT.

Calculated values
Relative energy among the computed polymorphs (eV per atom): 0.085
N(E_F) (states/eV/cell): 9.197
Spin magnetization (μB per formula unit): 0.000

```
AcNd2Sm
1.0
4.3451 0.0000 0.0000
0.0000 4.3451 0.0000
0.0000 0.0000 7.8501
Ac Nd Sm
1 2 1
Direct
0.0000 0.0000 0.0000
0.5000 0.5000 0.2745
0.5000 0.5000 0.7255
0.0000 0.0000 0.5000
```



(8)
Computed, not measured: NaMnGa2Br after structural relaxation at the PBE level of DFT.

Calculated values
Formation energy from raw total energies (meV per atom): 663
N(E_F) (states/eV/cell): 3.627
Spin magnetization (μB per formula unit): 4.621

```
NaMnGa2Br
1.0
5.4608 0.0000 0.0000
0.0000 5.4608 0.0000
0.0000 0.0000 5.1391
Na Mn Ga Br
1 1 2 1
Direct
0.0000 0.0000 0.0000
0.5000 0.5000 0.5000
0.0000 0.5000 0.0000
0.5000 0.0000 0.0000
0.0000 0.0000 0.5000
```